Entry 1:
{"formula": "TlAg6Pd3", "functional": "PBE", "state": "optimized geometry", "energy_ev_per_atom": -3.452, "magmom_total_mub_per_fu": 0.000, "e_form_ev_per_atom": 0.053, "cell": [[3.943, -8.916, 0.000], [3.943, 8.916, 0.000], [0.000, 0.000, 5.254]], "species": ["Tl", "Tl", "Ag", "Ag", "Ag", "Ag", "Ag", "Ag", "Ag", "Ag", "Ag", "Ag", "Ag", "Ag", "Pd", "Pd", "Pd", "Pd", "Pd", "Pd"], "frac_coords": [[0.155, 0.845, 0.500], [0.845, 0.155, 0.000], [0.007, 0.993, 0.705], [0.083, 0.548, 0.189], [0.285, 0.354, 0.906], [0.326, 0.674, 0.759], [0.354, 0.285, 0.406], [0.452, 0.917, 0.189], [0.548, 0.083, 0.689], [0.646, 0.715, 0.906], [0.674, 0.326, 0.259], [0.715, 0.646, 0.406], [0.917, 0.452, 0.689], [0.993, 0.007, 0.205], [0.060, 0.298, 0.497], [0.298, 0.060, 0.997], [0.400, 0.600, 0.298], [0.600, 0.400, 0.798], [0.702, 0.940, 0.497], [0.940, 0.702, 0.997]]}

Entry 2:
{"formula": "TlAg2Pd6", "functional": "PBE", "state": "optimized geometry", "energy_ev_per_atom": -4.303, "magmom_total_mub_per_fu": 0.000, "e_form_ev_per_atom": 0.055, "de_polymorph_mev_per_atom": 108, "cell": [[7.203, -3.891, 0.000], [7.203, 3.891, 0.000], [-0.519, 0.000, 2.792]], "species": ["Tl", "Ag", "Ag", "Pd", "Pd", "Pd", "Pd", "Pd", "Pd"], "frac_coords": [[0.000, 0.000, 0.000], [0.333, 0.333, 0.336], [0.667, 0.667, 0.664], [0.020, 0.646, 0.834], [0.315, 0.685, 0.500], [0.354, 0.980, 0.166], [0.646, 0.020, 0.834], [0.685, 0.315, 0.500], [0.980, 0.354, 0.166]]}

Entry 3:
{"formula": "Tl2AgPd3", "functional": "PBE", "state": "optimized geometry", "energy_ev_per_atom": -3.965, "magmom_total_mub_per_fu": 0.000, "e_form_ev_per_atom": -0.105, "de_polymorph_mev_per_atom": 27, "cell": [[2.403, -7.195, 0.000], [2.403, 7.195, 0.000], [0.000, 0.000, 6.378]], "species": ["Tl", "Tl", "Tl", "Tl", "Ag", "Ag", "Pd", "Pd", "Pd", "Pd", "Pd", "Pd"], "frac_coords": [[0.000, 0.000, 0.000], [0.000, 0.000, 0.500], [0.333, 0.667, 0.000], [0.667, 0.333, 0.000], [0.329, 0.671, 0.500], [0.671, 0.329, 0.500], [0.166, 0.834, 0.251], [0.166, 0.834, 0.749], [0.500, 0.500, 0.255], [0.500, 0.500, 0.745], [0.834, 0.166, 0.251], [0.834, 0.166, 0.749]]}

Entry 4:
{"formula": "Tl6AgPd12", "functional": "PBE", "state": "optimized geometry", "energy_ev_per_atom": -4.300, "magmom_total_mub_per_fu": 0.000, "e_form_ev_per_atom": -0.123, "cell": [[6.088, 3.515, 2.793], [-6.088, 3.515, 2.793], [0.000, -7.030, 2.793]], "species": ["Tl", "Tl", "Tl", "Tl", "Tl", "Tl", "Ag", "Pd", "Pd", "Pd", "Pd", "Pd", "Pd", "Pd", "Pd", "Pd", "Pd", "Pd", "Pd"], "frac_coords": [[0.038, 0.404, 0.292], [0.292, 0.038, 0.404], [0.404, 0.292, 0.038], [0.596, 0.708, 0.962], [0.708, 0.962, 0.596], [0.962, 0.596, 0.708], [0.500, 0.500, 0.500], [0.017, 0.320, 0.901], [0.099, 0.983, 0.680], [0.228, 0.375, 0.666], [0.320, 0.901, 0.017], [0.334, 0.772, 0.625], [0.375, 0.666, 0.228], [0.625, 0.334, 0.772], [0.666, 0.228, 0.375], [0.680, 0.099, 0.983], [0.772, 0.625, 0.334], [0.901, 0.017, 0.320], [0.983, 0.680, 0.099]]}

Entry 5:
{"formula": "TlAg3Pd7", "functional": "PBE", "state": "optimized geometry", "energy_ev_per_atom": -4.126, "magmom_total_mub_per_fu": 0.000, "e_form_ev_per_atom": 0.171, "cell": [[4.667, -4.664, 0.000], [4.667, 4.664, 0.000], [-2.165, 0.000, 4.701]], "species": ["Tl", "Ag", "Ag", "Ag", "Pd", "Pd", "Pd", "Pd", "Pd", "Pd", "Pd"], "frac_coords": [[0.000, 0.000, 0.000], [0.294, 0.706, 0.500], [0.500, 0.500, 0.000], [0.706, 0.294, 0.500], [0.000, 0.000, 0.500], [0.081, 0.568, 0.823], [0.281, 0.281, 0.465], [0.432, 0.919, 0.177], [0.568, 0.081, 0.823], [0.719, 0.719, 0.535], [0.919, 0.432, 0.177]]}

Entry 6:
{"formula": "Tl2Ag2Pd5", "functional": "PBE", "state": "optimized geometry", "energy_ev_per_atom": -4.082, "magmom_total_mub_per_fu": 0.000, "e_form_ev_per_atom": -0.038, "cell": [[-8.202, 3.671, 2.708], [8.202, -3.671, 2.708], [8.202, 3.671, -2.708]], "species": ["Tl", "Tl", "Tl", "Tl", "Ag", "Ag", "Ag", "Ag", "Pd", "Pd", "Pd", "Pd", "Pd", "Pd", "Pd", "Pd", "Pd", "Pd"], "frac_coords": [[0.000, 0.000, 0.000], [0.000, 0.500, 0.500], [0.300, 0.149, 0.651], [0.498, 0.649, 0.349], [0.379, 0.078, 0.435], [0.379, 0.444, 0.801], [0.643, 0.578, 0.199], [0.643, 0.944, 0.565], [0.092, 0.403, 0.884], [0.092, 0.708, 0.189], [0.382, 0.866, 0.016], [0.519, 0.208, 0.116], [0.519, 0.903, 0.811], [0.850, 0.366, 0.984], [0.880, 0.597, 0.617], [0.880, 0.764, 0.783], [0.980, 0.097, 0.217], [0.980, 0.264, 0.383]]}